(1)
# K2CrAs | Alexandria | PBEsol | relaxed
data_K2CrAs
_chemical_formula_sum 'K2 Cr1 As1'
_symmetry_space_group_name_H-M 'P 4 m m'
_symmetry_Int_Tables_number 99
_cell_length_a 3.572
_cell_length_b 3.572
_cell_length_c 9.907
_cell_angle_alpha 90.00
_cell_angle_beta 90.00
_cell_angle_gamma 90.00
loop_
_symmetry_equiv_pos_as_xyz
'x,y,z'
'-y,x,z'
'-x,-y,z'
'y,-x,z'
'-x,y,z'
'y,x,z'
'x,-y,z'
'-y,-x,z'
loop_
_atom_site_label
_atom_site_fract_x
_atom_site_fract_y
_atom_site_fract_z
_atom_site_occupancy
K1 0.000 0.000 0.000 1
K2 0.500 0.500 0.406 1
Cr1 0.500 0.500 0.721 1
As1 0.000 0.000 0.663 1
# Energy relative to the elements = 15 kJ per mole of atoms
# DFT total energy = -4.244 eV per atom

---

(2)
# TaSb2Os | Alexandria | PBEsol | relaxed
data_TaSb2Os
_chemical_formula_sum 'Ta1 Sb2 Os1'
_symmetry_space_group_name_H-M 'P 4 m m'
_symmetry_Int_Tables_number 99
_cell_length_a 3.067
_cell_length_b 3.067
_cell_length_c 8.693
_cell_angle_alpha 90.00
_cell_angle_beta 90.00
_cell_angle_gamma 90.00
loop_
_symmetry_equiv_pos_as_xyz
'x,y,z'
'-y,x,z'
'-x,-y,z'
'y,-x,z'
'-x,y,z'
'y,x,z'
'x,-y,z'
'-y,-x,z'
loop_
_atom_site_label
_atom_site_fract_x
_atom_site_fract_y
_atom_site_fract_z
_atom_site_occupancy
Ta1 0.000 0.000 0.000 1
Sb1 0.000 0.000 0.396 1
Sb2 0.500 0.500 0.755 1
Os1 0.500 0.500 0.193 1
# Formation energy (no corrections) = 0.014 eV per atom
# Offset from the most stable computed form = 0.000 eV per atom
# DFT total energy = -8.456 eV per atom

---

(3)
# CdRe3Te | Alexandria | PBEsol | relaxed
data_CdRe3Te
_chemical_formula_sum 'Cd1 Re3 Te1'
_symmetry_space_group_name_H-M 'P m -3 m'
_symmetry_Int_Tables_number 221
_symmetry_space_group_name_Hall '-P 4 2 3'
_cell_length_a 4.790
_cell_length_b 4.790
_cell_length_c 4.790
_cell_angle_alpha 90.00
_cell_angle_beta 90.00
_cell_angle_gamma 90.00
loop_
_atom_site_label
_atom_site_fract_x
_atom_site_fract_y
_atom_site_fract_z
_atom_site_occupancy
Cd1 0.000 0.000 0.000 1
Re1 0.000 0.500 0.500 1
Te1 0.500 0.500 0.500 1
# Formation energy (no corrections) = 2.498 eV per atom
# DFT total energy = -6.446 eV per atom

---

(4)
# KFe2Hg | Alexandria | PBEsol | relaxed
data_KFe2Hg
_chemical_formula_sum 'K2 Fe4 Hg2'
_symmetry_space_group_name_H-M 'I m m m'
_symmetry_Int_Tables_number 71
_symmetry_space_group_name_Hall '-I 2 2'
_cell_length_a 2.791
_cell_length_b 5.204
_cell_length_c 10.708
_cell_angle_alpha 90.00
_cell_angle_beta 90.00
_cell_angle_gamma 90.00
loop_
_atom_site_label
_atom_site_fract_x
_atom_site_fract_y
_atom_site_fract_z
_atom_site_occupancy
K1 0.000 0.000 0.000 1
Fe1 0.000 0.500 0.221 1
Hg1 0.000 0.000 0.500 1
# Energy relative to the elements = 92 kJ per mole of atoms
# DFT total energy = -3.952 eV per atom

---

(5)
# Zr2CoP | Alexandria | PBEsol | relaxed
data_Zr2CoP
_chemical_formula_sum 'Zr4 Co2 P2'
_symmetry_space_group_name_H-M 'A m m 2'
_symmetry_Int_Tables_number 38
_cell_length_a 3.676
_cell_length_b 3.580
_cell_length_c 9.747
_cell_angle_alpha 90.00
_cell_angle_beta 90.00
_cell_angle_gamma 90.00
loop_
_symmetry_equiv_pos_as_xyz
'x,y,z'
'-x,-y,z'
'-x,y,z'
'x,-y,z'
'x,y+1/2,z+1/2'
'-x,-y+1/2,z+1/2'
'-x,y+1/2,z+1/2'
'x,-y+1/2,z+1/2'
loop_
_atom_site_label
_atom_site_fract_x
_atom_site_fract_y
_atom_site_fract_z
_atom_site_occupancy
Zr1 0.000 0.000 0.000 1
Zr2 0.500 0.000 0.290 1
Co1 0.000 0.000 0.715 1
P1 0.500 0.000 0.573 1
# Energy relative to the elements = -95 kJ per mole of atoms
# Offset from the most stable computed form = 0.021 eV per atom
# DFT total energy = -8.916 eV per atom

---

(6)
# La2YIr2 | Alexandria | PBEsol | relaxed
data_La2YIr2
_chemical_formula_sum 'La4 Y2 Ir4'
_symmetry_space_group_name_H-M 'I 4/m m m'
_symmetry_Int_Tables_number 139
_symmetry_space_group_name_Hall '-I 4 2'
_cell_length_a 3.838
_cell_length_b 3.838
_cell_length_c 19.436
_cell_angle_alpha 90.00
_cell_angle_beta 90.00
_cell_angle_gamma 90.00
loop_
_atom_site_label
_atom_site_fract_x
_atom_site_fract_y
_atom_site_fract_z
_atom_site_occupancy
La1 0.000 0.000 0.142 1
Y1 0.000 0.000 0.500 1
Ir1 0.000 0.500 0.250 1
# Energy relative to the elements = 3 kJ per mole of atoms
# Offset from the most stable computed form = 0.621 eV per atom
# DFT total energy = -7.405 eV per atom

---

(7)
# BaMnIN2 | Alexandria | PBEsol | relaxed
data_BaMnIN2
_chemical_formula_sum 'Ba1 Mn1 I1 N2'
_symmetry_space_group_name_H-M 'P 4/m m m'
_symmetry_Int_Tables_number 123
_symmetry_space_group_name_Hall '-P 4 2'
_cell_length_a 4.591
_cell_length_b 4.591
_cell_length_c 6.680
_cell_angle_alpha 90.00
_cell_angle_beta 90.00
_cell_angle_gamma 90.00
loop_
_atom_site_label
_atom_site_fract_x
_atom_site_fract_y
_atom_site_fract_z
_atom_site_occupancy
Ba1 0.000 0.000 0.000 1
Mn1 0.500 0.500 0.500 1
I1 0.000 0.000 0.500 1
N1 0.000 0.500 0.000 1
# Formation energy (no corrections) = 1.617 eV per atom
# DFT total energy = -4.529 eV per atom

---

(8)
# HoH2 | Alexandria | PBEsol | relaxed
data_HoH2
_chemical_formula_sum 'Ho4 H8'
_symmetry_space_group_name_H-M 'F m -3 m'
_symmetry_Int_Tables_number 225
_symmetry_space_group_name_Hall '-F 4 2 3'
_cell_length_a 5.080
_cell_length_b 5.080
_cell_length_c 5.080
_cell_angle_alpha 90.00
_cell_angle_beta 90.00
_cell_angle_gamma 90.00
loop_
_atom_site_label
_atom_site_fract_x
_atom_site_fract_y
_atom_site_fract_z
_atom_site_occupancy
Ho1 0.000 0.000 0.000 1
H1 0.250 0.250 0.250 1
# DFT total energy = -4.594 eV per atom

---

(9)
# BeOs2Ru | Alexandria | PBEsol | relaxed
data_BeOs2Ru
_chemical_formula_sum 'Be2 Os4 Ru2'
_symmetry_space_group_name_H-M 'I -4 m 2'
_symmetry_Int_Tables_number 119
_symmetry_space_group_name_Hall 'I -4 -2'
_cell_length_a 3.636
_cell_length_b 3.636
_cell_length_c 7.736
_cell_angle_alpha 90.00
_cell_angle_beta 90.00
_cell_angle_gamma 90.00
loop_
_atom_site_label
_atom_site_fract_x
_atom_site_fract_y
_atom_site_fract_z
_atom_site_occupancy
Be1 0.000 0.000 0.000 1
Os1 0.000 0.000 0.500 1
Os2 0.000 0.500 0.250 1
Ru1 0.000 0.500 0.750 1
# Energy relative to the elements = 22 kJ per mole of atoms
# DFT total energy = -9.420 eV per atom

---

(10)
# Nd2Fe17H3 | Alexandria | PBEsol | relaxed
data_Nd2Fe17H3
_chemical_formula_sum 'Nd6 Fe51 H9'
_symmetry_space_group_name_H-M 'R -3 m'
_symmetry_Int_Tables_number 166
_symmetry_space_group_name_Hall '-R 3 2"'
_cell_length_a 8.4191
_cell_length_b 8.4191
_cell_length_c 11.9948
_cell_angle_alpha 90.00
_cell_angle_beta 90.00
_cell_angle_gamma 120.00
loop_
_atom_site_label
_atom_site_fract_x
_atom_site_fract_y
_atom_site_fract_z
_atom_site_occupancy
Nd1 0.0000 0.0000 0.1558 1
Fe1 0.0000 0.0000 0.4043 1
Fe2 0.0000 0.2835 0.5000 1
Fe3 0.0000 0.5000 0.0000 1
Fe4 0.0060 0.5030 0.3422 1
H1 0.0000 0.5000 0.5000 1
# DFT total energy = -7.868 eV per atom

---

(11)
# Cr4Mo5 | Alexandria | PBEsol | relaxed
data_Cr4Mo5
_chemical_formula_sum 'Cr8 Mo10'
_symmetry_space_group_name_H-M 'I 4/m m m'
_symmetry_Int_Tables_number 139
_symmetry_space_group_name_Hall '-I 4 2'
_cell_length_a 9.000
_cell_length_b 9.000
_cell_length_c 3.017
_cell_angle_alpha 90.00
_cell_angle_beta 90.00
_cell_angle_gamma 90.00
loop_
_atom_site_label
_atom_site_fract_x
_atom_site_fract_y
_atom_site_fract_z
_atom_site_occupancy
Cr1 0.000 0.344 0.000 1
Mo1 0.000 0.000 0.000 1
Mo2 0.169 0.169 0.500 1
# Energy relative to the elements = 10 kJ per mole of atoms
# DFT total energy = -10.984 eV per atom

---

(12)
# Ca3LaS | Alexandria | PBEsol | relaxed
data_Ca3LaS
_chemical_formula_sum 'Ca3 La1 S1'
_symmetry_space_group_name_H-M 'P m -3 m'
_symmetry_Int_Tables_number 221
_symmetry_space_group_name_Hall '-P 4 2 3'
_cell_length_a 5.575
_cell_length_b 5.575
_cell_length_c 5.575
_cell_angle_alpha 90.00
_cell_angle_beta 90.00
_cell_angle_gamma 90.00
loop_
_atom_site_label
_atom_site_fract_x
_atom_site_fract_y
_atom_site_fract_z
_atom_site_occupancy
Ca1 0.000 0.000 0.500 1
La1 0.000 0.000 0.000 1
S1 0.500 0.500 0.500 1
# Formation energy (no corrections) = 0.947 eV per atom
# DFT total energy = -2.278 eV per atom

---

(13)
# BaGa2Au | Alexandria | PBEsol | relaxed
data_BaGa2Au
_chemical_formula_sum 'Ba4 Ga8 Au4'
_symmetry_space_group_name_H-M 'F m -3 m'
_symmetry_Int_Tables_number 225
_symmetry_space_group_name_Hall '-F 4 2 3'
_cell_length_a 7.106
_cell_length_b 7.106
_cell_length_c 7.106
_cell_angle_alpha 90.00
_cell_angle_beta 90.00
_cell_angle_gamma 90.00
loop_
_atom_site_label
_atom_site_fract_x
_atom_site_fract_y
_atom_site_fract_z
_atom_site_occupancy
Ba1 0.000 0.000 0.000 1
Ga1 0.250 0.250 0.250 1
Au1 0.000 0.000 0.500 1
# Energy relative to the elements = -21 kJ per mole of atoms
# DFT total energy = -3.409 eV per atom

---

(14)
# GeS3F | Alexandria | PBEsol | relaxed
data_GeS3F
_chemical_formula_sum 'Ge1 S3 F1'
_symmetry_space_group_name_H-M 'P m -3 m'
_symmetry_Int_Tables_number 221
_symmetry_space_group_name_Hall '-P 4 2 3'
_cell_length_a 4.598
_cell_length_b 4.598
_cell_length_c 4.598
_cell_angle_alpha 90.00
_cell_angle_beta 90.00
_cell_angle_gamma 90.00
loop_
_atom_site_label
_atom_site_fract_x
_atom_site_fract_y
_atom_site_fract_z
_atom_site_occupancy
Ge1 0.000 0.000 0.000 1
S1 0.000 0.000 0.500 1
F1 0.500 0.500 0.500 1
# Formation energy (no corrections) = 0.544 eV per atom
# DFT total energy = -3.460 eV per atom

---

(15)
# InMoPt2 | Alexandria | PBEsol | relaxed
data_InMoPt2
_chemical_formula_sum 'In2 Mo2 Pt4'
_symmetry_space_group_name_H-M 'I -4 m 2'
_symmetry_Int_Tables_number 119
_symmetry_space_group_name_Hall 'I -4 -2'
_cell_length_a 4.042
_cell_length_b 4.042
_cell_length_c 7.830
_cell_angle_alpha 90.00
_cell_angle_beta 90.00
_cell_angle_gamma 90.00
loop_
_atom_site_label
_atom_site_fract_x
_atom_site_fract_y
_atom_site_fract_z
_atom_site_occupancy
In1 0.000 0.000 0.000 1
Mo1 0.000 0.500 0.250 1
Pt1 0.000 0.000 0.500 1
Pt2 0.000 0.500 0.750 1
# Energy relative to the elements = -8 kJ per mole of atoms
# DFT total energy = -7.253 eV per atom

---

(16)
# CsVSeO5 | Alexandria | PBEsol | relaxed
data_CsVSeO5
_chemical_formula_sum 'Cs4 V4 Se4 O20'
_symmetry_space_group_name_H-M 'P 1 21 1'
_symmetry_Int_Tables_number 4
_cell_length_a 7.917
_cell_length_b 7.813
_cell_length_c 9.424
_cell_angle_alpha 90.00
_cell_angle_beta 93.51
_cell_angle_gamma 90.00
loop_
_symmetry_equiv_pos_as_xyz
'x,y,z'
'-x,y+1/2,-z'
loop_
_atom_site_label
_atom_site_fract_x
_atom_site_fract_y
_atom_site_fract_z
_atom_site_occupancy
Cs1 0.091 0.000 0.135 1
Cs2 0.383 0.236 0.600 1
V1 0.077 0.544 0.268 1
V2 0.425 0.676 0.766 1
Se1 0.121 0.745 0.551 1
Se2 0.381 0.470 0.076 1
O1 0.012 0.106 0.547 1
O2 0.021 0.309 0.329 1
O3 0.065 0.139 0.836 1
O4 0.188 0.402 0.131 1
O5 0.227 0.589 0.655 1
O6 0.242 0.673 0.296 1
O7 0.320 0.515 0.902 1
O8 0.410 0.866 0.686 1
O9 0.422 0.072 0.303 1
O10 0.478 0.271 0.056 1
# Formation energy (no corrections) = -1.773 eV per atom
# DFT total energy = -6.857 eV per atom

---

(17)
# LaSn | Alexandria | PBEsol | relaxed
data_LaSn
_chemical_formula_sum 'La4 Sn4'
_symmetry_space_group_name_H-M 'C m c m'
_symmetry_Int_Tables_number 63
_symmetry_space_group_name_Hall '-C 2c 2'
_cell_length_a 4.763
_cell_length_b 11.820
_cell_length_c 4.375
_cell_angle_alpha 90.00
_cell_angle_beta 90.00
_cell_angle_gamma 90.00
loop_
_atom_site_label
_atom_site_fract_x
_atom_site_fract_y
_atom_site_fract_z
_atom_site_occupancy
La1 0.000 0.136 0.250 1
Sn1 0.000 0.414 0.250 1
# Energy relative to the elements = -80 kJ per mole of atoms
# DFT total energy = -5.633 eV per atom

---

(18)
# HfNb2PbW | Alexandria | PBEsol | relaxed
data_HfNb2PbW
_chemical_formula_sum 'Hf1 Nb2 Pb1 W1'
_symmetry_space_group_name_H-M 'P 4/m m m'
_symmetry_Int_Tables_number 123
_symmetry_space_group_name_Hall '-P 4 2'
_cell_length_a 4.978
_cell_length_b 4.978
_cell_length_c 5.072
_cell_angle_alpha 90.00
_cell_angle_beta 90.00
_cell_angle_gamma 90.00
loop_
_atom_site_label
_atom_site_fract_x
_atom_site_fract_y
_atom_site_fract_z
_atom_site_occupancy
Hf1 0.000 0.000 0.000 1
Nb1 0.000 0.500 0.500 1
Pb1 0.000 0.000 0.500 1
W1 0.500 0.500 0.000 1
# Energy relative to the elements = 239 kJ per mole of atoms
# DFT total energy = -7.518 eV per atom

---

(19)
# ZrMoAs2 | Alexandria | PBEsol | relaxed
data_ZrMoAs2
_chemical_formula_sum 'Zr4 Mo4 As8'
_symmetry_space_group_name_H-M 'F -4 3 m'
_symmetry_Int_Tables_number 216
_symmetry_space_group_name_Hall 'F -4 2 3'
_cell_length_a 6.476
_cell_length_b 6.476
_cell_length_c 6.476
_cell_angle_alpha 90.00
_cell_angle_beta 90.00
_cell_angle_gamma 90.00
loop_
_atom_site_label
_atom_site_fract_x
_atom_site_fract_y
_atom_site_fract_z
_atom_site_occupancy
Zr1 0.000 0.000 0.000 1
Mo1 0.250 0.250 0.750 1
As1 0.000 0.000 0.500 1
As2 0.250 0.250 0.250 1
# Energy relative to the elements = -4 kJ per mole of atoms
# Offset from the most stable computed form = 0.175 eV per atom
# DFT total energy = -7.814 eV per atom

---

(20)
# LaAs2SeBr | Alexandria | PBEsol | relaxed
data_LaAs2SeBr
_chemical_formula_sum 'La1 As2 Se1 Br1'
_symmetry_space_group_name_H-M 'P 4/m m m'
_symmetry_Int_Tables_number 123
_symmetry_space_group_name_Hall '-P 4 2'
_cell_length_a 5.756
_cell_length_b 5.756
_cell_length_c 5.509
_cell_angle_alpha 90.00
_cell_angle_beta 90.00
_cell_angle_gamma 90.00
loop_
_atom_site_label
_atom_site_fract_x
_atom_site_fract_y
_atom_site_fract_z
_atom_site_occupancy
La1 0.000 0.000 0.000 1
As1 0.000 0.500 0.000 1
Se1 0.000 0.000 0.500 1
Br1 0.500 0.500 0.500 1
# Formation energy (no corrections) = 0.479 eV per atom
# DFT total energy = -3.777 eV per atom